# 1
This record from the Alexandria database describes a geometry-optimized Rb2Pt2Pb structure. The functional is GGA-PBE.

Values from the calculation:
Space-group type: I4/mmm, No. 139
Excess energy over the best structure of this formula in the dataset, eV/f.u.: 3.24

extended XYZ file:
```
5
Lattice="-2.232 2.232 7.467 2.232 -2.232 7.467 2.232 2.232 -7.467" Properties=species:S:1:pos:R:3 pbc="T T T"
Rb 2.232 0.000 3.733
Rb 0.000 2.232 3.733
Pt 0.000 0.000 1.291
Pt 0.000 0.000 13.642
Pb 0.000 0.000 7.467
```


# 2
This record from the Alexandria database describes a geometry-optimized AcCdIrAu structure. The functional is GGA-PBE.

Values from the calculation:
Space-group type: F-43m, No. 216

extended XYZ file:
```
4
Lattice="0.000 3.606 3.606 3.606 0.000 3.606 3.606 3.606 0.000" Properties=species:S:1:pos:R:3 pbc="T T T"
Ac 0.000 0.000 0.000
Cd 3.606 3.606 3.606
Ir 1.803 1.803 1.803
Au 5.409 5.409 5.409
```


no.,formation enthalpy at 0 K (eV/atom)
1,0.48
2,-0.26